Compound: CoO4
Source: the Alexandria database
Functional: PBE with a Hubbard U
Structure: relaxed

Calculated values
- crystal system = monoclinic
- total energy (eV/atom) = -5.27
- symmetry = C2/m

```
5
Lattice="3.5365 -1.5738 0.0000 3.5365 1.5738 0.0000 -2.1620 0.0000 5.3304" Properties=species:S:1:pos:R:3 pbc="T T T"
Co 0.0000 0.0000 0.0000
O 1.3786 0.0000 1.3221
O 2.6610 0.0000 0.9266
O 2.2499 0.0000 4.4038
O 3.5324 0.0000 4.0082
```